Entry from Alexandria: a relaxed LaFe2RuC crystal (PBEsol).

The total moment is 4.64 μB per formula unit. The raw total energy comes out at -5.549 eV per atom.

a b c (Å): 4.458 4.458 4.683
angles (deg): 90.00 90.00 90.00
Fractional coordinates of all 5 atoms:
C: 0.500 0.500 0.500
Fe: 0.500 0.000 0.000
Fe: 0.000 0.500 0.000
La: 0.000 0.000 0.000
Ru: 0.000 0.000 0.500

Entry from Alexandria: a relaxed Li2FeC crystal (PBEsol).

The total moment is 1.80 μB per formula unit. The raw total energy comes out at -5.015 eV per atom.

a b c (Å): 2.911 2.911 8.529
angles (deg): 99.82 99.82 90.00
Fractional coordinates of all 8 atoms:
C: 0.750 0.250 0.500
C: 0.500 0.500 0.000
Li: 0.625 0.593 0.750
Li: 0.407 0.875 0.250
Li: 0.843 0.375 0.250
Li: 0.125 0.157 0.750
Fe: 0.250 0.750 0.500
Fe: 0.000 0.000 0.000